Material: Ac3La3In2Pb
Method: DFT, GGA-PBE
State: relaxed

Calculated values
Crystal system: hexagonal
ΔH_f (0 K), eV/atom: -0.32
DOS at the Fermi energy, states/eV per cell: 11.27

Cell lengths 9.1605, 9.1605, 4.5146 Å; angles 90.00, 90.00, 120.00 degrees
Space group P-62m (No. 189)
Unique sites:
Ac  0.0000  0.7207  0.0000 (multiplicity 3)
La  0.0000  0.3981  0.5000 (multiplicity 3)
In  0.3333  0.6667  0.0000 (multiplicity 2)
Pb  0.0000  0.0000  0.5000 (multiplicity 1)